Record 1
SrTe2P: optimized geometry, GGA-PBE.

For the energy above the most stable polymorph in this dataset, the calculation gives 43.5 meV per atom.

Unit cell a=4.4134 b=4.4583 c=11.9748 alpha=90.00 beta=90.00 gamma=90.00
Closest atoms and distances in Å follow each position.
Space group Amm2 (No. 38)
Inequivalent atoms, fractional coordinates:
Sr 0.0000 0.0000 0.0000 x2  7 Te 3.29-3.51, 2 P 3.34
Te 0.0000 0.0000 0.2932 x2  4 P 3.14, 3 Sr 3.33-3.51
Te 0.5000 0.0000 0.5824 x2  1 P 2.50
P 0.5000 0.0000 0.7911 x2  1 Te 2.50

***

Record 2
K4TiSn3P4O20: optimized geometry, GGA-PBE.

Unit cell a=6.5893 b=10.8745 c=13.2801 alpha=90.00 beta=90.27 gamma=90.00
Closest atoms and distances in Å follow each position.
Space group P2_1 (No. 4)
Inequivalent atoms, fractional coordinates:
K 0.1953 0.0000 0.1099 x2  4 O 2.73-2.91
K 0.2209 0.2396 0.8712 x2  8 O 2.73-3.02
K 0.2785 0.2402 0.3826 x2  5 O 2.68-2.89
K 0.2959 0.9916 0.6026 x2  5 O 2.74-3.03
Ti 0.0022 0.4391 0.6332 x2  3 O 1.83-2.01
Sn 0.2487 0.6901 0.7508 x2  6 O 2.00-2.14
Sn 0.2611 0.6884 0.2556 x2  6 O 1.99-2.19
Sn 0.4991 0.4401 0.1274 x2  6 O 2.00-2.14
P 0.0033 0.4416 0.1765 x2  4 O 1.55-1.56
P 0.1528 0.6898 0.4997 x2  4 O 1.55-1.57
P 0.3402 0.6909 0.0003 x2  4 O 1.55-1.57
P 0.4982 0.4431 0.6794 x2  4 O 1.55-1.56
O 0.0089 0.5798 0.5184 x2  1 P 1.55
O 0.0247 0.8075 0.4809 x2  1 P 1.55
O 0.0270 0.8310 0.7511 x2  1 P 1.55
O 0.0296 0.5558 0.2462 x2  1 P 1.56
O 0.0299 0.5643 0.7260 x2  1 Ti 1.85, 1 Sn 2.01
O 0.0458 0.8210 0.2719 x2  1 Ti 1.83, 1 Sn 2.03
O 0.1815 0.9643 0.8943 x2  1 P 1.55
O 0.1862 0.4194 0.1063 x2  1 P 1.55
O 0.1993 0.6685 0.9084 x2  1 P 1.55
O 0.2040 0.7113 0.0939 x2  1 P 1.55
O 0.2937 0.7150 0.5927 x2  1 P 1.57
O 0.2995 0.6619 0.4104 x2  1 P 1.56
O 0.3042 0.4227 0.6156 x2  1 P 1.55
O 0.3143 0.9624 0.3885 x2  1 P 1.55
O 0.4703 0.8149 0.7631 x2  2 Sn 2.00
O 0.4719 0.8327 0.2472 x2  1 P 1.56
O 0.4774 0.8074 0.9879 x2  1 P 1.57
O 0.4781 0.5572 0.7500 x2  1 P 1.56
O 0.4889 0.5800 0.0140 x2  1 P 1.56
O 0.4939 0.5759 0.2307 x2  2 Sn 1.99-2.02

***

Across the entries above, magnetization takes the values 0.00, 0.00 μB per atom, respectively.
Across the entries above, total energy takes the values -3.957, -6.744 eV per atom, respectively.
Across the entries above, ΔE_f (raw) takes the values -2.45, -70.71 eV/f.u., respectively.